Record 1
Compound: Mg2AgAs
Source: the Alexandria database
Functional: PBEsol
Structure: optimized geometry

Structure (POSCAR):
```
Mg2AgAs
1.0
3.1743 0.0000 0.0241
0.0000 3.7186 0.0000
-0.0478 0.0000 6.1663
Mg Ag As
2 1 1
direct
0.9998 0.0000 0.7494
0.0002 0.0000 0.2506
0.5000 0.5000 0.0000
0.5000 0.5000 0.5000
```

Properties
crystal system	orthorhombic
energy of formation from the pure elements	-262	meV/atom

Record 2
Compound: ErRe2O8
Source: the Alexandria database
Functional: PBEsol
Structure: optimized geometry

Structure (POSCAR):
```
ErRe2O8
1.0
6.0447 0.0000 0.0000
-3.0223 5.2349 0.0000
0.0000 0.0000 6.3296
O Re Er
8 2 1
direct
0.6667 0.3333 0.4369
0.8236 0.6505 0.8080
0.3495 0.1731 0.8080
0.3333 0.6667 0.5631
0.1764 0.3495 0.1920
0.6505 0.8269 0.1920
0.1731 0.8236 0.1920
0.8269 0.1764 0.8080
0.3333 0.6667 0.2897
0.6667 0.3333 0.7103
0.0000 0.0000 0.0000
```

Properties
formation energy from raw total energies	-1.97	eV/atom
crystal system	trigonal

Record 3
Compound: Zr5P
Source: the Alexandria database
Functional: PBEsol
Structure: optimized geometry

Structure (POSCAR):
```
Zr5P
1.0
3.4545 0.0000 0.0000
0.0000 3.4545 0.0000
0.0000 0.0000 10.0008
Zr P
5 1
direct
0.5000 0.5000 0.6836
0.0000 0.0000 0.5000
0.0000 0.0000 0.1368
0.5000 0.5000 0.3164
0.0000 0.0000 0.8632
0.5000 0.5000 0.0000
```

Properties
crystal system	tetragonal
energy of formation from the pure elements	-391	meV/atom
distance to the lowest polymorph of the same formula	0	meV/atom

Record 4
Compound: Na4Sb2C4SO16
Source: the Alexandria database
Functional: PBEsol
Structure: optimized geometry

Structure (POSCAR):
```
Na4Sb2C4SO16
1.0
-3.3784 8.3603 -4.1888
0.3396 -4.5086 -8.8551
-5.6093 -4.3302 7.4727
Sb O C Na S
4 32 8 8 2
direct
0.1250 0.8750 0.7500
0.1250 0.3750 0.2500
0.6250 0.8750 0.7500
0.1250 0.8750 0.2500
0.0324 0.7100 0.8091
0.2933 0.2245 0.2963
0.4865 0.7878 0.4593
0.3206 0.4438 0.8890
0.2470 0.6782 0.2037
0.6952 0.3184 0.3890
0.6816 0.3048 0.6110
0.9600 0.7824 0.3091
0.9567 0.5255 0.2037
0.3218 0.7530 0.7963
0.2900 0.9676 0.1909
0.4745 0.0433 0.7963
0.0378 0.2365 0.9593
0.0030 0.0718 0.2963
0.9294 0.3062 0.6110
0.5684 0.4452 0.8890
0.2122 0.5135 0.5407
0.3285 0.0272 0.5407
0.4734 0.6509 0.6909
0.2176 0.0400 0.6909
0.3491 0.5266 0.3091
0.9282 0.9970 0.7037
0.7635 0.9622 0.0407
0.2772 0.0785 0.0407
0.6938 0.0706 0.3890
0.9009 0.2234 0.1909
0.5548 0.4316 0.1110
0.9728 0.6715 0.4593
0.7766 0.0991 0.8091
0.7755 0.7067 0.7037
0.9215 0.7228 0.9593
0.5562 0.6794 0.1110
0.3614 0.6649 0.3246
0.2868 0.0904 0.1754
0.3351 0.6386 0.6754
0.9149 0.1114 0.8246
0.9096 0.7132 0.8246
0.3404 0.0368 0.6754
0.9632 0.6596 0.3246
0.8886 0.0851 0.1754
0.7029 0.2971 0.0000
0.5471 0.4529 0.5000
0.9529 0.0471 0.5000
0.7042 0.7042 0.0000
0.9542 0.4542 0.5000
0.2958 0.2958 0.0000
0.5458 0.0458 0.5000
0.2971 0.7029 0.0000
0.5000 0.5000 0.0000
0.7500 0.2500 0.5000
```

Properties
formation energy from raw total energies	-1.49	eV/atom
crystal system	orthorhombic
distance to the lowest polymorph of the same formula	0	meV/atom

| no. | M_tot (μB/atom) | V (Å³ per cell) |
| --- | --- | --- |
| 1 | 0.0000 | 73 |
| 2 | 0.0002 | 200 |
| 3 | 0.0001 | 119 |
| 4 | 0.0077 | 750 |